No. 1
Here is an optimized crystal structure of Na3Ag2I2Br3 from Alexandria. Energies are from PBE.

Lattice parameters (Å, degrees): 4.298 4.298 17.616 97.01 97.01 90.00
Fractional coordinates of all 10 atoms:
Br (0.412, 0.412, 0.824)
I (0.193, 0.193, 0.387)
Na (0.500, 0.500, 0.000)
Br (0.000, 0.000, 0.000)
Na (0.916, 0.916, 0.832)
Na (0.084, 0.084, 0.168)
I (0.807, 0.807, 0.613)
Ag (0.750, 0.250, 0.500)
Br (0.588, 0.588, 0.176)
Ag (0.250, 0.750, 0.500)

The value obtained for the volume is 32.1 A^3/atom. As for the crystal system: tetragonal. The energy relative to the elements, uncorrected is -997 meV/atom. The space group is I4/mmm, No. 139. The density of states at the Fermi level is 0.0 states/eV/cell.



No. 2
Here is an optimized crystal structure of NaAgI2Br6 from Alexandria. Energies are from PBE.

Lattice parameters (Å, degrees): 6.437 9.258 8.875 92.13 122.09 116.34
Fractional coordinates of all 10 atoms:
Br (0.051, 0.906, 0.263)
Ag (0.996, 0.998, 0.980)
Br (0.545, 0.145, 0.190)
Br (0.876, 0.576, 0.752)
Br (0.448, 0.851, 0.770)
Br (0.942, 0.089, 0.697)
I (0.558, 0.658, 0.220)
Br (0.117, 0.420, 0.208)
I (0.436, 0.337, 0.741)
Na (0.997, 0.497, 0.481)

The value obtained for the volume is 37.5 A^3/atom. As for the crystal system: triclinic. The energy relative to the elements, uncorrected is -339 meV/atom. The space group is P1, No. 1. The density of states at the Fermi level is 2.8 states/eV/cell.



No. 3
Here is an optimized crystal structure of NaAg2IBr6 from Alexandria. Energies are from PBE.

Lattice parameters (Å, degrees): 7.476 8.171 7.530 78.28 70.57 57.48
Fractional coordinates of all 10 atoms:
I (0.327, 0.315, 0.054)
Ag (0.488, 0.623, 0.383)
Br (0.148, 0.899, 0.258)
Br (0.123, 0.338, 0.811)
Br (0.485, 0.726, 0.695)
Br (0.751, 0.106, 0.787)
Ag (0.097, 0.990, 0.910)
Na (0.768, 0.884, 0.502)
Br (0.927, 0.499, 0.316)
Br (0.548, 0.282, 0.299)

The value obtained for the volume is 36.6 A^3/atom. As for the crystal system: triclinic. The energy relative to the elements, uncorrected is -429 meV/atom. The space group is P1, No. 1.



No. 4
Here is an optimized crystal structure of Na2AgI2Br from Alexandria. Energies are from PBE.

Lattice parameters (Å, degrees): 6.622 8.720 8.947 119.16 90.00 90.00
Fractional coordinates of all 12 atoms:
I (0.234, 0.522, 0.685)
I (0.734, 0.163, 0.685)
I (0.734, 0.478, 0.315)
Ag (0.300, 0.836, 0.000)
Na (0.239, 0.474, 0.311)
Na (0.739, 0.526, 0.689)
Br (0.228, 0.146, 0.000)
Br (0.728, 0.854, 0.000)
Na (0.239, 0.163, 0.689)
Na (0.739, 0.837, 0.311)
I (0.234, 0.837, 0.315)
Ag (0.800, 0.164, 0.000)

The value obtained for the volume is 37.6 A^3/atom. As for the crystal system: orthorhombic. The energy relative to the elements, uncorrected is -962 meV/atom. The space group is Cmc2_1, No. 36. The density of states at the Fermi level is 0.0 states/eV/cell.



No. 5
Here is an optimized crystal structure of Na3Ag2I3Br2 from Alexandria. Energies are from PBE.

Lattice parameters (Å, degrees): 4.553 4.553 16.480 97.94 97.94 90.00
Fractional coordinates of all 10 atoms:
I (0.000, 0.000, 0.000)
Ag (0.750, 0.250, 0.500)
Br (0.201, 0.201, 0.401)
Na (0.902, 0.902, 0.803)
I (0.603, 0.603, 0.206)
Na (0.500, 0.500, 0.000)
I (0.397, 0.397, 0.794)
Br (0.799, 0.799, 0.599)
Ag (0.250, 0.750, 0.500)
Na (0.098, 0.098, 0.197)

The value obtained for the volume is 33.5 A^3/atom. As for the crystal system: tetragonal. The energy relative to the elements, uncorrected is -860 meV/atom. The space group is I4/mmm, No. 139.



No. 6
Here is an optimized crystal structure of NpAg3I2Br6 from Alexandria. Energies are from PBE.

Lattice parameters (Å, degrees): 6.719 8.347 8.648 118.86 99.96 90.00
Fractional coordinates of all 12 atoms:
Br (0.743, 0.854, 0.174)
Br (0.257, 0.680, 0.826)
Ag (0.000, 0.500, 0.000)
I (0.757, 0.330, 0.659)
Br (0.273, 0.132, 0.264)
Ag (0.500, 0.000, 0.500)
Br (0.727, 0.868, 0.736)
Np (0.500, 0.000, 0.000)
Br (0.743, 0.320, 0.174)
Br (0.257, 0.146, 0.826)
Ag (0.500, 0.500, 0.500)
I (0.243, 0.670, 0.341)

The value obtained for the volume is 34.7 A^3/atom. As for the crystal system: monoclinic. The energy relative to the elements, uncorrected is -644 meV/atom. The space group is C2/m, No. 12. The density of states at the Fermi level is 8.0 states/eV/cell.